Below is crystalline KRuPt2 at its relaxed geometry, with properties calculated at the PBE level.

Cell and atoms, written as POSCAR:
```
KRuPt2
1.0
4.165 0.000 0.000
0.000 4.165 0.000
0.000 0.000 4.097
K Ru Pt
1 1 2
Direct
0.000 0.000 0.000
0.500 0.500 0.000
0.000 0.500 0.500
0.500 0.000 0.500
```

Summary:
For the density of states at the Fermi level, the calculation gives 4.614 states/eV per cell. The space-group type is P4/mmm (123). For the calculated total energy, the calculation gives -4.793 eV/atom. The value obtained for the energy relative to the lowest polymorph listed for this composition is 2.685 eV per formula unit. The calculation puts the formation energy at 0.8209 eV per atom. Its volume is 71.1 Å³ per cell. The value obtained for the total moment is 1.52 μB per formula unit.